# 1
# BaNaAg2Cl8

A relaxed BaNaAg2Cl8 crystal (PBE, Alexandria via LeMat-Bulk).

Unit cell a=7.2316 b=7.2316 c=8.1361 alpha=116.39 beta=116.39 gamma=90.00
Last column: magnetic moment on the atom in μB.
Atoms (fractional coordinates):
Ag  0.2500  0.7500  0.5000  0.25
Cl  0.5988  0.8399  0.0450  0.00
Cl  0.7949  0.4012  0.9550  0.00
Na  0.7500  0.2500  0.5000  0.00
Cl  0.3506  0.0314  0.4424  0.10
Cl  0.1601  0.5539  0.9550  0.00
Cl  0.9686  0.9081  0.5576  0.10
Ag  0.5000  0.5000  0.0000  0.00
Cl  0.0919  0.4110  0.4424  0.10
Ba  0.0000  0.0000  0.0000  0.00
Cl  0.4461  0.2051  0.0450  0.00
Cl  0.5890  0.6494  0.5576  0.10

=====

# 2
# AcNd2Tm4

A relaxed AcNd2Tm4 crystal (PBE, Alexandria via LeMat-Bulk).

Unit cell a=6.9183 b=6.9182 c=6.9183 alpha=123.20 beta=103.08 gamma=103.07
Atoms (fractional coordinates):
Tm  0.0000  0.3056  0.6945
Nd  0.5000  0.7500  0.2500
Nd  0.5000  0.2500  0.7500
Tm  0.0000  0.6944  0.3055
Ac  0.0000  0.0000  0.0000
Tm  0.3889  0.6944  0.6945
Tm  0.6111  0.3056  0.3055

E_form in eV per atom: 0.2119

=====

# 3
# Te5PPt

A relaxed Te5PPt crystal (PBE, Alexandria via LeMat-Bulk).

Unit cell a=7.3254 b=7.3254 c=15.1353 alpha=90.00 beta=90.00 gamma=149.73
Atoms (fractional coordinates):
Te  0.1417  0.8583  0.3687
Te  0.6187  0.3813  0.5720
P  0.0000  0.0000  0.5000
Te  0.3813  0.6187  0.4280
Pt  0.4048  0.5952  0.7500
Te  0.1417  0.8583  0.1313
P  0.0000  0.0000  0.0000
Te  0.9550  0.0450  0.2500
Te  0.8583  0.1417  0.6313
Te  0.6187  0.3813  0.9280
Te  0.3813  0.6187  0.0720
Pt  0.5952  0.4048  0.2500
Te  0.8583  0.1417  0.8687
Te  0.0450  0.9550  0.7500

=====

# 4
# SrZr2SbPb

A relaxed SrZr2SbPb crystal (PBE, Alexandria via LeMat-Bulk).

Unit cell a=5.5098 b=6.0333 c=5.5098 alpha=90.00 beta=90.00 gamma=90.00
Last column: magnetic moment on the atom in μB.
Atoms (fractional coordinates):
Zr  0.0000  0.0000  0.5000  0.86
Sb  0.0000  0.5000  0.0000  -0.07
Sr  0.5000  0.5000  0.5000  0.07
Pb  0.0000  0.0000  0.0000  -0.01
Zr  0.5000  0.0000  0.0000  0.64

=====

# 5
# BeCdTc4

A relaxed BeCdTc4 crystal (PBE, Alexandria via LeMat-Bulk).

Unit cell a=5.1390 b=5.1390 c=5.1390 alpha=60.00 beta=60.00 gamma=60.00
Atoms (fractional coordinates):
Tc  0.3754  0.3754  0.3754
Tc  0.3754  0.3754  0.8739
Cd  0.0000  0.0000  0.0000
Be  0.7500  0.7500  0.7500
Tc  0.3754  0.8739  0.3754
Tc  0.8739  0.3754  0.3754

E_form in eV per atom: 0.5879

=====

# 6
# SrIn2Se2

A relaxed SrIn2Se2 crystal (PBE, Alexandria via LeMat-Bulk).

Unit cell a=4.2039 b=4.2039 c=8.7304 alpha=76.07 beta=76.07 gamma=90.00
Atoms (fractional coordinates):
Se  0.4088  0.4088  0.1824
In  0.7500  0.2500  0.5000
Sr  0.0000  0.0000  0.0000
Se  0.5912  0.5912  0.8176
In  0.2500  0.7500  0.5000

=====

# 7
# NdYEr2Tm2

A relaxed NdYEr2Tm2 crystal (PBE, Alexandria via LeMat-Bulk).

Unit cell a=3.5135 b=15.9810 c=6.9145 alpha=90.00 beta=90.00 gamma=90.00
Atoms (fractional coordinates):
Nd  0.5000  0.5000  0.5000
Er  0.5000  0.1583  0.7499
Y  0.5000  0.5000  0.0000
Er  0.0000  0.6583  0.7501
Tm  0.5000  0.8435  0.7502
Tm  0.0000  0.6565  0.2502
Tm  0.0000  0.3435  0.7498
Y  0.0000  0.0000  0.5000
Er  0.5000  0.8417  0.2501
Nd  0.0000  0.0000  0.0000
Tm  0.5000  0.1565  0.2498
Er  0.0000  0.3417  0.2499

E_form in eV per atom: 0.1737

=====

# 8
# Na5CeHg6

A relaxed Na5CeHg6 crystal (PBE, Alexandria via LeMat-Bulk).

Unit cell a=5.3528 b=7.4982 c=8.3516 alpha=90.01 beta=71.77 gamma=90.01
Last column: magnetic moment on the atom in μB.
Atoms (fractional coordinates):
Ce  0.0000  0.0000  0.0000  0.97
Hg  0.4998  0.7624  0.0006  0.01
Na  0.3368  0.5000  0.3276  0.00
Na  0.6736  0.9999  0.6513  0.00
Na  0.3264  0.0001  0.3487  0.00
Hg  0.8383  0.7390  0.3253  0.01
Hg  0.8380  0.2615  0.3256  0.01
Hg  0.1617  0.2610  0.6747  0.01
Na  0.6632  0.5000  0.6724  0.00
Hg  0.5002  0.2376  0.9994  0.01
Na  0.0000  0.5000  0.0000  0.00
Hg  0.1620  0.7385  0.6744  0.01

E_form in eV per atom: -0.2342

=====

# 9
# CsAl2Au2

A relaxed CsAl2Au2 crystal (PBE, Alexandria via LeMat-Bulk).

Unit cell a=4.5840 b=4.5840 c=7.7384 alpha=72.77 beta=72.77 gamma=90.00
Atoms (fractional coordinates):
Au  0.6677  0.6677  0.6645
Cs  0.0000  0.0000  0.0000
Au  0.3323  0.3323  0.3355
Al  0.2500  0.7500  0.5000
Al  0.7500  0.2500  0.5000

E_form in eV per atom: -0.2780

=====

# 10
# RbZrOsO6

A relaxed RbZrOsO6 crystal (PBE, Alexandria via LeMat-Bulk).

Unit cell a=7.6415 b=7.3600 c=7.5415 alpha=119.21 beta=120.44 gamma=90.00
Last column: magnetic moment on the atom in μB.
Atoms (fractional coordinates):
O  0.4463  0.0744  0.2401  0.10
O  0.7938  0.6656  0.2401  0.10
Rb  0.8896  0.6396  0.7793  0.00
O  0.7938  0.0744  0.2401  0.10
Os  0.5000  0.0000  0.0000  0.54
O  0.5537  0.3344  0.7599  0.10
O  0.8230  0.0730  0.6459  -0.01
O  0.4527  0.7027  0.9054  0.00
O  0.1770  0.9270  0.3541  -0.01
O  0.5473  0.2973  0.0946  0.00
Os  0.5000  0.5000  0.0000  0.54
O  0.2062  0.3344  0.7599  0.10
Zr  0.0000  0.0000  0.5000  0.02
O  0.5537  0.9256  0.7599  0.10
Rb  0.1104  0.3604  0.2207  0.00
Zr  0.5000  0.0000  0.5000  0.02
O  0.4463  0.6656  0.2401  0.10
O  0.2062  0.9256  0.7599  0.10

=====

# 11
# Th6TcS5

A relaxed Th6TcS5 crystal (PBE, Alexandria via LeMat-Bulk).

Unit cell a=7.0753 b=7.0847 c=7.0762 alpha=59.96 beta=80.33 gamma=70.39
Atoms (fractional coordinates):
S  0.0000  0.3335  0.3330
Th  0.2453  0.5916  0.3267
Th  0.7547  0.0817  0.3267
S  0.0000  0.6665  0.6670
Th  0.7522  0.7539  0.0000
Tc  0.0000  0.0000  0.0000
Th  0.7547  0.4084  0.6733
Th  0.2478  0.2461  0.0000
S  0.5000  0.8315  0.3371
Th  0.2453  0.9183  0.6733
S  0.5000  0.1685  0.6629
S  0.5000  0.5000  0.0000

=====

# 12
# CsCo

A relaxed CsCo crystal (PBE, Alexandria via LeMat-Bulk).

Unit cell a=5.6310 b=13.4017 c=3.8838 alpha=90.00 beta=90.00 gamma=90.00
Last column: magnetic moment on the atom in μB.
Atoms (fractional coordinates):
Cs  0.0000  0.3593  0.7500  -0.01
Co  0.5000  0.4597  0.2500  1.71
Co  0.0000  0.0403  0.7500  1.71
Co  0.5000  0.5403  0.7500  1.71
Co  0.0000  0.9597  0.2500  1.71
Cs  0.5000  0.8593  0.7500  -0.01
Cs  0.0000  0.6407  0.2500  -0.01
Cs  0.5000  0.1407  0.2500  -0.01

E_form in eV per atom: 0.8746

=====

Taking the records one at a time from the top gives calculated volume values of 331; 244; 409; 183; 96; 145; 388; 318; 148; 301; 289; 293 Å³/cell.
Taking the records one at a time from the top gives uncorrected energy values of -35.747; -30.047; -53.185; -23.103; -42.578; -17.774; -56.517; -17.150; -16.284; -134.541; -93.890; -24.841 eV for the cell shown.